A plane-wave DFT calculation with PBE was carried out for a geometry-optimized AgHgPt structure.

Structure (POSCAR):
```
AgHgPt
1.0
-2.414 -2.458 3.111
4.633 0.155 0.254
-0.174 2.354 1.726
Ag Hg Pt
1 1 1
direct
0.000 0.000 0.001
0.667 0.333 0.350
0.333 0.667 0.649
```

M_tot ... 0.0 μB/f.u.
Energy of formation from the pure elements ... 69 meV/atom
SG ... P3m1, No. 156

A plane-wave DFT calculation with PBE was carried out for a geometry-optimized Sn2SbTe structure.

Structure (POSCAR):
```
Sn2SbTe
1.0
0.000 3.824 3.824
3.824 0.000 3.824
3.824 3.824 0.000
Sb Te Sn
1 1 2
direct
0.000 0.000 0.000
0.500 0.500 0.500
0.250 0.250 0.250
0.750 0.750 0.750
```

M_tot ... 0.0 μB/f.u.
Raw formation energy ... 7 kJ/mol of atoms
SG ... Fm-3m, No. 225